First-principles (PBE-GGA) data for a relaxed structure of YZn12Ga4, as listed in Alexandria via LeMat-Bulk.

Geometry as POSCAR:
```
YZn12Ga4
1.0
-7.3658 -1.4087 1.0489
4.0533 -6.0224 2.1541
2.0316 6.0164 4.1248
Zn Ga Y
12 4 1
Direct
0.3532 0.5007 0.1475 Zn
0.2058 0.8525 0.3532 Zn
0.1475 0.3532 0.5007 Zn
0.8525 0.6468 0.4993 Zn
0.1475 0.6468 0.7942 Zn
0.3532 0.2058 0.8525 Zn
0.4993 0.8525 0.6468 Zn
0.6468 0.4993 0.8525 Zn
0.6468 0.7942 0.1475 Zn
0.7942 0.1475 0.6468 Zn
0.8525 0.3532 0.2058 Zn
0.5007 0.1475 0.3532 Zn
0.5000 0.5000 0.5000 Ga
0.0000 0.0000 0.5000 Ga
0.0000 0.5000 0.0000 Ga
0.5000 0.0000 0.0000 Ga
0.0000 0.0000 0.0000 Y
```

Results
volume: 334.2 Å³ per cell
E_tot: -1.832 eV/atom
SG: No. 204